No. 1
Zn2Pd2Rh | PBE-GGA | optimized geometry Values from VASP.

Computed properties:
offset from the most stable computed form: 72 meV/atom
M_tot: 0.000 μB/f.u.
DOS at the Fermi energy: 0.7283 states/eV/atom
DFT formation energy: -0.2439 eV per atom
calculated volume: 14.79 A^3/atom

Structure (Quantum ESPRESSO input):
```
&SYSTEM
  ibrav = 0, nat = 10, ntyp = 3
/
ATOMIC_SPECIES
Zn 65.41 Zn.upf
Pd 106.42 Pd.upf
Rh 102.91 Rh.upf
ATOMIC_POSITIONS crystal
Zn 0.135 0.365 0.000
Zn 0.365 0.865 0.000
Zn 0.635 0.135 0.000
Zn 0.865 0.635 0.000
Pd 0.165 0.665 0.500
Pd 0.335 0.165 0.500
Pd 0.665 0.835 0.500
Pd 0.835 0.335 0.500
Rh 0.000 0.000 0.000
Rh 0.500 0.500 0.000
CELL_PARAMETERS angstrom
7.077 0.000 0.000
0.000 7.077 0.000
0.000 0.000 2.954
```

***

No. 2
Zn9PdRh2 | PBE-GGA | optimized geometry Values from VASP.

Computed properties:
M_tot: 0.000 μB/f.u.
DOS at the Fermi energy: 0.3777 states/eV/atom
DFT formation energy: -0.3247 eV per atom
calculated volume: 14.13 A^3/atom

Structure (Quantum ESPRESSO input):
```
&SYSTEM
  ibrav = 0, nat = 12, ntyp = 3
/
ATOMIC_SPECIES
Zn 65.41 Zn.upf
Pd 106.42 Pd.upf
Rh 102.91 Rh.upf
ATOMIC_POSITIONS crystal
Zn 0.000 0.000 0.000
Zn 0.000 0.000 0.332
Zn 0.000 0.000 0.668
Zn 0.000 0.500 0.169
Zn 0.000 0.500 0.500
Zn 0.000 0.500 0.831
Zn 0.500 0.000 0.169
Zn 0.500 0.000 0.500
Zn 0.500 0.000 0.831
Pd 0.500 0.500 0.000
Rh 0.500 0.500 0.338
Rh 0.500 0.500 0.662
CELL_PARAMETERS angstrom
3.820 0.000 0.000
0.000 3.820 0.000
0.000 0.000 11.623
```

***

No. 3
ZnPd2Rh | PBE-GGA | optimized geometry Values from VASP.

Computed properties:
M_tot: 0.000 μB/f.u.
DOS at the Fermi energy: 0.6751 states/eV/atom
DFT formation energy: -0.1757 eV per atom
calculated volume: 14.79 A^3/atom

Structure (Quantum ESPRESSO input):
```
&SYSTEM
  ibrav = 0, nat = 4, ntyp = 3
/
ATOMIC_SPECIES
Zn 65.41 Zn.upf
Pd 106.42 Pd.upf
Rh 102.91 Rh.upf
ATOMIC_POSITIONS crystal
Zn 0.000 0.000 0.000
Pd 0.000 0.500 0.500
Pd 0.500 0.000 0.500
Rh 0.500 0.500 0.000
CELL_PARAMETERS angstrom
4.583 0.000 0.000
0.000 4.583 0.000
0.000 0.000 2.817
```

***

No. 4
ZnPdRh3 | PBE-GGA | optimized geometry Values from VASP.

Computed properties:
offset from the most stable computed form: 0 meV/atom
M_tot: 3.145 μB/f.u.
DOS at the Fermi energy: 1.0950 states/eV/atom
DFT formation energy: 1.1228 eV per atom
calculated volume: 18.32 A^3/atom

Structure (Quantum ESPRESSO input):
```
&SYSTEM
  ibrav = 0, nat = 5, ntyp = 3
/
ATOMIC_SPECIES
Zn 65.41 Zn.upf
Pd 106.42 Pd.upf
Rh 102.91 Rh.upf
ATOMIC_POSITIONS crystal
Zn 0.000 0.000 0.000
Pd 0.500 0.500 0.500
Rh 0.000 0.000 0.500
Rh 0.000 0.500 0.000
Rh 0.500 0.000 0.000
CELL_PARAMETERS angstrom
4.508 0.000 0.000
0.000 4.508 0.000
0.000 0.000 4.508
```